An optimized crystal structure of Rb3VS2O10, computed with PBE+U.

The structure in POSCAR format:
```
Rb3VS2O10
1.0
12.017 0.000 0.000
0.000 8.651 0.000
-4.281 0.000 11.587
Rb V S O
12 4 8 40
Cartesian
-1.070 1.014 2.897
-3.210 7.637 8.691
-3.881 2.465 10.955
-1.740 6.186 5.161
0.820 1.280 9.950
2.961 7.370 4.156
4.938 2.718 2.897
2.798 5.933 8.691
4.776 1.280 7.431
6.916 7.370 1.637
9.477 2.465 6.426
11.617 6.186 0.633
1.858 2.772 5.518
-0.283 5.879 11.312
8.019 2.772 0.276
5.879 5.879 6.070
0.980 4.177 3.337
-1.160 4.473 9.131
0.339 0.171 6.549
2.479 8.479 0.756
5.257 0.171 10.832
7.398 8.479 5.038
8.897 4.177 2.456
6.757 4.473 8.250
0.872 3.610 1.997
-1.268 5.041 7.791
1.164 0.017 1.407
-0.976 8.634 7.200
0.193 3.331 4.356
-1.947 5.319 10.150
-1.569 3.069 9.193
0.572 5.582 3.399
-1.796 0.391 10.975
0.345 8.260 5.181
0.479 1.726 6.429
2.619 6.925 0.635
2.382 3.999 3.926
0.241 4.651 9.720
3.593 0.320 1.580
1.453 8.331 7.373
2.979 1.595 5.172
0.839 7.056 10.965
2.402 3.690 6.769
4.542 4.960 0.976
3.194 3.690 10.612
5.335 4.960 4.818
6.898 1.595 0.622
4.757 7.056 6.416
6.284 0.320 4.214
4.144 8.331 10.008
7.495 3.999 1.868
5.355 4.651 7.662
5.118 1.726 10.952
7.258 6.925 5.158
7.392 0.391 6.406
9.532 8.260 0.612
7.165 3.069 8.188
9.305 5.582 2.395
9.684 3.331 1.437
7.544 5.319 7.231
8.713 0.017 4.387
6.572 8.634 10.181
9.004 3.610 3.797
6.864 5.041 9.591
```

## Properties
The value obtained for the total energy is -0.2227 hartree per atom.